[1]
First-principles (SCAN) data for a crystal of Nb12PbSe16 relaxed with PBEsol, as listed in Alexandria via LeMat-Bulk.

Cell and atoms, written as POSCAR:
```
Nb12PbSe16
1.0
-3.8824 5.4515 1.8325
-4.3359 -0.0883 -8.9334
-1.9446 -8.0022 6.5399
Nb Se Pb
12 16 1
direct
0.1279 0.6199 0.5118 Nb
0.5688 0.5126 0.8917 Nb
0.9290 0.4882 0.1092 Nb
0.6362 0.6219 0.5129 Nb
0.0710 0.5118 0.8908 Nb
0.5624 0.8923 0.3803 Nb
0.0685 0.8903 0.3777 Nb
0.4376 0.1077 0.6197 Nb
0.3638 0.3781 0.4871 Nb
0.9315 0.1097 0.6223 Nb
0.8721 0.3801 0.4882 Nb
0.4312 0.4874 0.1083 Nb
0.7949 0.0559 0.3337 Se
0.7066 0.3345 0.6662 Se
0.2934 0.6655 0.3338 Se
0.5992 0.2758 0.9427 Se
0.2051 0.9441 0.6663 Se
0.9878 0.6639 0.7240 Se
0.4884 0.6664 0.7228 Se
0.0122 0.3361 0.2760 Se
0.7907 0.6677 0.3330 Se
0.7070 0.9398 0.6639 Se
0.9049 0.7220 0.0590 Se
0.2930 0.0602 0.3361 Se
0.0951 0.2780 0.9410 Se
0.5116 0.3336 0.2772 Se
0.2093 0.3323 0.6670 Se
0.4008 0.7242 0.0573 Se
0.5000 0.0000 0.0000 Pb
```

* DOS at the Fermi energy: 0.26 states/eV per atom
* ΔE_f (raw): -0.90 eV/atom

---

[2]
First-principles (SCAN) data for a crystal of NbSi2Pb relaxed with PBEsol, as listed in Alexandria via LeMat-Bulk.

Cell and atoms, written as POSCAR:
```
NbSi2Pb
1.0
6.1123 0.0000 0.0000
0.0000 6.1123 0.0000
-3.0561 -3.0561 5.7692
Si Nb Pb
4 2 2
direct
0.1250 0.1577 0.7500 Si
0.8423 0.3750 0.2500 Si
0.4077 0.8750 0.2500 Si
0.6250 0.5923 0.7500 Si
0.5000 0.5000 0.0000 Nb
0.7500 0.2500 0.5000 Nb
0.0000 0.0000 0.0000 Pb
0.2500 0.7500 0.5000 Pb
```

* DOS at the Fermi energy: 0.62 states/eV per atom
* ΔE_f (raw): 0.74 eV/atom

---

[3]
First-principles (SCAN) data for a crystal of SrNb3Pb relaxed with PBEsol, as listed in Alexandria via LeMat-Bulk.

Cell and atoms, written as POSCAR:
```
SrNb3Pb
1.0
4.8800 0.0000 0.0000
0.0000 4.8800 0.0000
0.0000 0.0000 4.8800
Nb Sr Pb
3 1 1
direct
0.5000 0.0000 0.0000 Nb
0.0000 0.0000 0.5000 Nb
0.0000 0.5000 0.0000 Nb
0.0000 0.0000 0.0000 Sr
0.5000 0.5000 0.5000 Pb
```

* DOS at the Fermi energy: 0.63 states/eV per atom
* formation enthalpy at 0 K: 12.024 eV per formula unit

---

[4]
First-principles (SCAN) data for a crystal of Ta3NbPb relaxed with PBEsol, as listed in Alexandria via LeMat-Bulk.

Cell and atoms, written as POSCAR:
```
Ta3NbPb
1.0
-1.1978 -1.2741 4.6609
4.5084 -2.0224 0.6057
1.7385 4.3668 1.6405
Ta Nb Pb
3 1 1
direct
0.0000 0.0000 0.5000 Ta
0.0000 0.5000 0.0000 Ta
0.5000 0.0000 0.0000 Ta
0.5000 0.5000 0.5000 Nb
0.0000 0.0000 0.0000 Pb
```

* DOS at the Fermi energy: 1.10 states/eV per atom
* formation enthalpy at 0 K: 11.940 eV per formula unit

---

[5]
First-principles (SCAN) data for a crystal of TaNbPb3 relaxed with PBEsol, as listed in Alexandria via LeMat-Bulk.

Cell and atoms, written as POSCAR:
```
TaNbPb3
1.0
5.3551 0.0000 0.0000
0.0000 5.3551 0.0000
0.0000 0.0000 5.3551
Pb Nb Ta
3 1 1
direct
0.0000 0.0000 0.5000 Pb
0.5000 0.0000 0.0000 Pb
0.0000 0.5000 0.0000 Pb
0.0000 0.0000 0.0000 Nb
0.5000 0.5000 0.5000 Ta
```

* DOS at the Fermi energy: 1.23 states/eV per atom
* formation enthalpy at 0 K: 7.197 eV per formula unit

---

[6]
First-principles (SCAN) data for a crystal of NbTcPb3 relaxed with PBEsol, as listed in Alexandria via LeMat-Bulk.

Cell and atoms, written as POSCAR:
```
NbTcPb3
1.0
5.2146 0.0000 0.0000
0.0000 5.2146 0.0000
0.0000 0.0000 5.2146
Tc Nb Pb
1 1 3
direct
0.0000 0.0000 0.0000 Tc
0.5000 0.5000 0.5000 Nb
0.0000 0.0000 0.5000 Pb
0.0000 0.5000 0.0000 Pb
0.5000 0.0000 0.0000 Pb
```

* DOS at the Fermi energy: 0.76 states/eV per atom
* formation enthalpy at 0 K: 5.131 eV per formula unit

---

[7]
First-principles (SCAN) data for a crystal of NbTePb3 relaxed with PBEsol, as listed in Alexandria via LeMat-Bulk.

Cell and atoms, written as POSCAR:
```
NbTePb3
1.0
5.7897 0.0000 0.0000
0.0000 5.7897 0.0000
0.0000 0.0000 5.7897
Te Pb Nb
1 3 1
direct
0.0000 0.0000 0.0000 Te
0.0000 0.5000 0.0000 Pb
0.0000 0.0000 0.5000 Pb
0.5000 0.0000 0.0000 Pb
0.5000 0.5000 0.5000 Nb
```

* DOS at the Fermi energy: 1.23 states/eV per atom
* ΔE_f (raw): 1.26 eV/atom

---

[8]
First-principles (SCAN) data for a crystal of Nb2TePb relaxed with PBEsol, as listed in Alexandria via LeMat-Bulk.

Cell and atoms, written as POSCAR:
```
Nb2TePb
1.0
-4.2911 -0.6788 -2.1110
-2.7339 -3.7817 1.2472
-4.0652 0.6843 2.5174
Nb Te Pb
2 1 1
direct
0.2500 0.2500 0.2500 Nb
0.7500 0.7500 0.7500 Nb
0.0000 0.0000 0.0000 Te
0.5000 0.5000 0.5000 Pb
```

* DOS at the Fermi energy: 0.51 states/eV per atom
* ΔE_f (raw): 0.12 eV/atom

---

[9]
First-principles (SCAN) data for a crystal of Ti2Nb2Pb relaxed with PBEsol, as listed in Alexandria via LeMat-Bulk.

Cell and atoms, written as POSCAR:
```
Ti2Nb2Pb
1.0
3.8537 0.0000 0.0000
0.0000 3.8537 0.0000
-1.9268 -1.9268 6.6170
Nb Ti Pb
2 2 1
direct
0.4017 0.4017 0.8033 Nb
0.5983 0.5983 0.1967 Nb
0.7500 0.2500 0.5000 Ti
0.2500 0.7500 0.5000 Ti
0.0000 0.0000 0.0000 Pb
```

* DOS at the Fermi energy: 1.29 states/eV per atom
* formation enthalpy at 0 K: 3.090 eV per formula unit

---

[10]
First-principles (SCAN) data for a crystal of NbPb3W relaxed with PBEsol, as listed in Alexandria via LeMat-Bulk.

Cell and atoms, written as POSCAR:
```
NbPb3W
1.0
-1.2559 -2.6464 -4.4243
2.6842 -4.2234 1.7643
-4.4015 -1.8206 2.3384
Nb Pb W
1 3 1
direct
0.5000 0.5000 0.5000 Nb
0.0000 0.5000 0.0000 Pb
0.5000 0.0000 0.0000 Pb
0.0000 0.0000 0.5000 Pb
0.0000 0.0000 0.0000 W
```

* DOS at the Fermi energy: 1.58 states/eV per atom
* formation enthalpy at 0 K: 6.708 eV per formula unit
* relative energy among the computed polymorphs: 0.0 kJ/mol of atoms

---

[11]
First-principles (SCAN) data for a crystal of NbZnPb3 relaxed with PBEsol, as listed in Alexandria via LeMat-Bulk.

Cell and atoms, written as POSCAR:
```
NbZnPb3
1.0
-0.4320 -0.1200 5.4180
0.8484 -5.3697 -0.0512
5.3525 0.8415 0.4454
Pb Nb Zn
3 1 1
direct
0.0000 0.0000 0.5000 Pb
0.5000 0.0000 0.0000 Pb
0.0000 0.5000 0.0000 Pb
0.0000 0.0000 0.0000 Nb
0.5000 0.5000 0.5000 Zn
```

* DOS at the Fermi energy: 0.36 states/eV per atom
* formation enthalpy at 0 K: 2.217 eV per formula unit

---

[12]
First-principles (SCAN) data for a crystal of ScNbPdPt2 relaxed with PBEsol, as listed in Alexandria via LeMat-Bulk.

Cell and atoms, written as POSCAR:
```
ScNbPdPt2
1.0
-1.8852 -0.9425 -3.9861
-3.9539 -1.2859 2.1740
-1.5912 4.4043 -0.2888
Nb Pt Pd Sc
1 2 1 1
direct
0.5000 0.5000 0.5000 Nb
0.0000 0.0000 0.5000 Pt
0.0000 0.5000 0.0000 Pt
0.5000 0.0000 0.0000 Pd
0.0000 0.0000 0.0000 Sc
```

* DOS at the Fermi energy: 0.66 states/eV per atom
* formation enthalpy at 0 K: 2.958 eV per formula unit

---

[13]
First-principles (SCAN) data for a crystal of RbNb2Pd relaxed with PBEsol, as listed in Alexandria via LeMat-Bulk.

Cell and atoms, written as POSCAR:
```
RbNb2Pd
1.0
4.7022 0.0000 0.0000
2.3511 4.0722 0.0000
2.3511 1.3574 3.8393
Rb Nb Pd
1 2 1
direct
0.0000 0.0000 0.0000 Rb
0.2500 0.2500 0.2500 Nb
0.7500 0.7500 0.7500 Nb
0.5000 0.5000 0.5000 Pd
```

* DOS at the Fermi energy: 0.74 states/eV per atom
* formation enthalpy at 0 K: 5.076 eV per formula unit

---

[14]
First-principles (SCAN) data for a crystal of NbRePd3 relaxed with PBEsol, as listed in Alexandria via LeMat-Bulk.

Cell and atoms, written as POSCAR:
```
NbRePd3
1.0
-4.4385 -1.3171 -0.6464
-0.1565 -1.6227 4.3812
-1.4588 4.1815 1.4966
Pd Re Nb
3 1 1
direct
0.0000 0.0000 0.5000 Pd
0.0000 0.5000 0.0000 Pd
0.5000 0.0000 0.0000 Pd
0.0000 0.0000 0.0000 Re
0.5000 0.5000 0.5000 Nb
```

* DOS at the Fermi energy: 0.79 states/eV per atom
* formation enthalpy at 0 K: 7.170 eV per formula unit